DFT (PBE) results for a relaxed structure of Dy2HgPb.

a b c (Å): 7.5319 7.5319 7.5319
angles (deg): 34.73 34.73 34.73
Closest atoms and distances in Å follow each position.
Fractional coordinates of all 4 atoms:
Dy1 0.0000 0.0000 0.0000  3 Pb 3.10, 3 Hg 3.19
Dy2 0.1764 0.1764 0.1764  3 Pb 3.07, 3 Hg 3.21
Hg1 0.4211 0.4211 0.4211  6 Dy 3.19-3.21, 1 Pb 3.51
Pb1 0.5868 0.5868 0.5868  6 Dy 3.07-3.10

Output
Crystal system: trigonal
Volume (A^3/atom): 31.0

DFT (PBE) results for a relaxed structure of DyHgPb.

a b c (Å): 6.4615 6.4615 6.4615
angles (deg): 146.49 146.49 48.12
Closest atoms and distances in Å follow each position.
Fractional coordinates of all 3 atoms:
Dy1 0.0000 0.0000 0.0000  4 Hg 3.16, 4 Pb 3.44
Hg1 0.3526 0.3526 0.0000  4 Dy 3.16, 4 Pb 3.28
Pb1 0.6868 0.6868 0.0000  4 Hg 3.28, 4 Dy 3.44

Output
Crystal system: tetragonal
Volume (A^3/atom): 27.3

DFT (PBE) results for a relaxed structure of PrDy2Hg2Pb2.

a b c (Å): 9.4703 9.4703 9.4703
angles (deg): 31.25 31.25 31.25
Closest atoms and distances in Å follow each position.
Fractional coordinates of all 7 atoms:
Pr1 0.0000 0.0000 0.0000  6 Pb 3.41, 2 Dy 3.56
Dy1 0.1317 0.1317 0.1317  3 Hg 3.04
Dy2 0.8683 0.8683 0.8683  3 Hg 3.04
Hg1 0.4375 0.4375 0.4375  3 Dy 3.04, 3 Pb 3.14, 1 Hg 3.37
Hg2 0.5625 0.5625 0.5625  3 Dy 3.04, 3 Pb 3.14, 1 Hg 3.37
Pb1 0.2698 0.2698 0.2698  3 Hg 3.14, 3 Pr 3.41, 3 Dy 3.47
Pb2 0.7302 0.7302 0.7302  3 Hg 3.14, 3 Pr 3.41, 3 Dy 3.47

Output
Crystal system: trigonal
Volume (A^3/atom): 29.0

DFT (PBE) results for a relaxed structure of DyHgPtPb.

a b c (Å): 5.0619 5.0619 5.0619
angles (deg): 60.00 60.00 60.00
Closest atoms and distances in Å follow each position.
Fractional coordinates of all 4 atoms:
Dy1 0.0000 0.0000 0.0000  4 Hg 3.10, 4 Pt 3.10
Hg1 0.7500 0.7500 0.7500  4 Dy 3.10, 4 Pb 3.10
Pt1 0.2500 0.2500 0.2500  4 Pb 3.10, 4 Dy 3.10
Pb1 0.5000 0.5000 0.5000  4 Hg 3.10, 4 Pt 3.10

Output
Crystal system: cubic
Volume (A^3/atom): 22.9

DFT (PBE) results for a relaxed structure of DyHgRhPb.

a b c (Å): 5.0168 5.0168 5.0168
angles (deg): 60.00 60.00 60.00
Closest atoms and distances in Å follow each position.
Fractional coordinates of all 4 atoms:
Dy1 0.0000 0.0000 0.0000  4 Hg 3.07, 4 Rh 3.07
Hg1 0.2500 0.2500 0.2500  4 Pb 3.07, 4 Dy 3.07
Rh1 0.7500 0.7500 0.7500  4 Pb 3.07, 4 Dy 3.07
Pb1 0.5000 0.5000 0.5000  4 Hg 3.07, 4 Rh 3.07

Output
Crystal system: cubic
Volume (A^3/atom): 22.3

DFT (PBE) results for a relaxed structure of Dy2HgRhPb.

a b c (Å): 7.5822 4.4269 8.0804
angles (deg): 90.00 110.79 90.00
Closest atoms and distances in Å follow each position.
Fractional coordinates of all 10 atoms:
Dy1 0.0446 0.2500 0.2386  3 Rh 2.87-2.93, 2 Hg 3.12
Dy2 0.3302 0.7500 0.6140  3 Rh 2.86-3.06, 1 Hg 3.09
Dy3 0.6698 0.2500 0.3860  3 Rh 2.86-3.06, 1 Hg 3.09
Dy4 0.9554 0.7500 0.7614  3 Rh 2.87-2.93, 2 Hg 3.12
Hg1 0.3326 0.7500 0.2318  2 Pb 3.09, 5 Dy 3.09-3.28
Hg2 0.6674 0.2500 0.7682  2 Pb 3.09, 5 Dy 3.09-3.28
Rh1 0.0904 0.2500 0.6137  1 Pb 2.74, 6 Dy 2.86-3.06, 2 Rh 2.89
Rh2 0.9096 0.7500 0.3863  1 Pb 2.74, 6 Dy 2.86-3.06, 2 Rh 2.89
Pb1 0.3244 0.2500 0.9617  1 Rh 2.74
Pb2 0.6756 0.7500 0.0383  1 Rh 2.74

Output
Crystal system: monoclinic
Volume (A^3/atom): 25.4

Number 1: D(E_F) 2.33 states/eV per cell, total magnetization 0.0 μB per formula unit, formation energy -1.153 eV per formula unit. Number 2: D(E_F) 2.42 states/eV per cell, total magnetization 0.0 μB per formula unit, formation energy -0.845 eV per formula unit. Number 3: D(E_F) 5.55 states/eV per cell, total magnetization 0.0 μB per formula unit, formation energy -1.774 eV per formula unit. Number 4: D(E_F) 2.64 states/eV per cell, total magnetization 0.0 μB per formula unit, formation energy -2.007 eV per formula unit. Number 5: D(E_F) 2.03 states/eV per cell, total magnetization 0.0 μB per formula unit, formation energy -1.230 eV per formula unit. Number 6: D(E_F) 4.56 states/eV per cell, total magnetization 0.0 μB per formula unit, formation energy -2.782 eV per formula unit.